[1]
The following is a DFT calculation (PBE) of a relaxed LaNb2Ni2 crystal.

The structure in extended XYZ format:
```
10
Lattice="7.634 0.000 0.000 0.000 7.634 0.000 0.000 0.000 3.070" Properties=species:S:1:pos:R:3 pbc="T T T"
La 3.817 3.817 0.000
Nb 2.583 1.234 1.535
Nb 6.400 2.583 1.535
Ni 0.892 2.925 0.000
Nb 1.234 5.051 1.535
Ni 2.925 6.742 0.000
La 0.000 0.000 0.000
Ni 4.709 0.892 0.000
Ni 6.742 4.709 0.000
Nb 5.051 6.400 1.535
```

Values from the calculation:
M_tot = 0.000 μB/atom
calculated total energy = -71.7 eV per cell
energy relative to the elements = 0.15 eV/atom


[2]
The following is a DFT calculation (PBE) of a relaxed LaOsBr2 crystal.

The structure in extended XYZ format:
```
4
Lattice="-1.146 1.925 3.178 -1.284 -3.326 1.552 5.944 -1.010 2.755" Properties=species:S:1:pos:R:3 pbc="T T T"
Br 2.935 -0.499 1.361
Br 0.037 -0.006 0.017
La 0.271 -0.953 3.054
Os 3.243 -1.458 4.431
```

Values from the calculation:
M_tot = 0.830 μB/atom
calculated total energy = -18.3 eV per cell
formation energy (no corrections) = 0.313 eV per atom


[3]
The following is a DFT calculation (PBE) of a relaxed LiMnSnMo crystal.

The structure in extended XYZ format:
```
4
Lattice="4.315 0.000 0.000 2.158 3.737 0.000 2.158 1.246 3.523" Properties=species:S:1:pos:R:3 pbc="T T T"
Mn 6.473 3.737 2.643
Li 2.158 1.246 0.881
Mo 4.315 2.491 1.762
Sn 0.000 0.000 0.000
```

Values from the calculation:
M_tot = 0.000 μB/atom
calculated total energy = -25.9 eV per cell
energy relative to the elements = -0.01 eV/atom


[4]
The following is a DFT calculation (PBE) of a relaxed Be2CuSi crystal.

The structure in extended XYZ format:
```
4
Lattice="-0.106 2.802 2.967 -0.702 0.348 4.006 3.904 -0.423 1.242" Properties=species:S:1:pos:R:3 pbc="T T T"
Cu 1.481 1.374 4.097
Si 2.375 2.034 6.168
Be 0.740 0.687 2.047
Be -0.760 3.142 6.985
```

Values from the calculation:
M_tot = 0.000 μB/atom
calculated total energy = -16.5 eV per cell
formation energy (no corrections) = 0.123 eV per atom


[5]
The following is a DFT calculation (PBE) of a relaxed RbNaPuSe3 crystal.

The structure in extended XYZ format:
```
12
Lattice="4.268 0.000 0.000 0.000 10.291 1.918 0.000 -1.248 8.529" Properties=species:S:1:pos:R:3 pbc="T T T"
Rb 1.067 2.770 4.363
Se 3.201 7.220 9.352
Na 1.067 -0.843 6.968
Na 3.201 9.886 3.479
Se 3.201 1.009 6.237
Pu 3.201 2.214 8.665
Se 1.067 8.034 4.210
Se 3.201 5.027 2.570
Se 1.067 4.016 7.877
Rb 3.201 6.273 6.084
Se 1.067 1.823 1.095
Pu 1.067 6.828 1.782
```

Values from the calculation:
M_tot = 0.667 μB/atom
calculated total energy = -69.0 eV per cell
formation energy (no corrections) = -1.238 eV per atom


[6]
The following is a DFT calculation (PBE) of a relaxed Ba2HPtBr crystal.

The structure in extended XYZ format:
```
5
Lattice="5.809 0.000 0.000 0.000 5.809 0.000 0.000 0.000 3.808" Properties=species:S:1:pos:R:3 pbc="T T T"
H 0.000 0.000 0.000
Ba 2.904 0.000 0.000
Pt 0.000 0.000 1.904
Br 2.904 2.904 1.904
Ba 0.000 2.904 0.000
```

Values from the calculation:
M_tot = 0.000 μB/atom
calculated total energy = -19.6 eV per cell


[7]
The following is a DFT calculation (PBE) of a relaxed Hf2HgH crystal.

The structure in extended XYZ format:
```
8
Lattice="5.499 0.000 0.000 0.000 5.499 0.000 2.749 2.749 5.096" Properties=species:S:1:pos:R:3 pbc="T T T"
H 2.749 5.499 2.548
Hf 6.873 5.905 3.822
Hf 4.124 5.092 3.822
Hg 0.000 0.000 0.000
Hg 5.499 2.749 2.548
Hf 3.156 1.375 1.274
Hf 2.343 4.124 1.274
H 2.749 2.749 0.000
```

Values from the calculation:
M_tot = 0.000 μB/atom
calculated total energy = -45.1 eV per cell


[8]
The following is a DFT calculation (PBE) of a relaxed LiLa2Rh crystal.

The structure in extended XYZ format:
```
4
Lattice="-2.115 -0.675 -3.041 -1.710 -2.908 1.835 -6.499 2.413 3.986" Properties=species:S:1:pos:R:3 pbc="T T T"
La -7.902 -0.471 5.602
Li -3.110 -0.461 -0.065
La -4.410 -0.270 3.128
Rh -7.214 -0.708 2.845
```

Values from the calculation:
M_tot = 0.000 μB/atom
calculated total energy = -20.4 eV per cell
energy relative to the elements = -0.33 eV/atom


[9]
The following is a DFT calculation (PBE) of a relaxed Cs3K2Br3F2 crystal.

The structure in extended XYZ format:
```
10
Lattice="5.143 0.000 0.000 0.000 5.143 0.000 -2.572 -2.572 14.456" Properties=species:S:1:pos:R:3 pbc="T T T"
Br 0.000 0.000 0.000
K 2.572 0.000 7.228
Br 2.572 2.572 3.902
Br 0.000 0.000 10.554
Cs 0.000 0.000 3.643
K 0.000 2.572 7.228
Cs 2.572 2.572 10.813
Cs 2.572 2.572 0.000
F 0.000 0.000 6.534
F 2.572 2.572 7.922
```

Values from the calculation:
M_tot = 0.021 μB/atom
calculated total energy = -34.8 eV per cell
formation energy (no corrections) = -2.127 eV per atom


[10]
The following is a DFT calculation (PBE) of a relaxed Mg2H32Ru2Cl10O17 crystal.

The structure in extended XYZ format:
```
126
Lattice="-2.543 -0.631 -8.064 -6.434 -7.484 3.875 -11.801 11.601 2.814" Properties=species:S:1:pos:R:3 pbc="T T T"
H -12.369 8.591 0.818
H -12.853 2.713 -2.969
H -11.705 -2.640 2.990
O -5.200 -4.034 2.630
H -15.489 6.944 2.297
H -9.365 6.028 1.888
H -8.538 -1.896 -2.975
Cl -8.460 -0.648 -1.196
Cl -3.693 1.570 -3.503
H -6.921 -4.592 -4.873
O -10.928 -3.241 2.804
H -7.374 5.871 -0.808
O -9.170 -5.209 -2.812
Cl -12.318 4.134 -0.179
O -12.306 5.883 2.448
H -16.696 2.345 -0.882
Cl -11.120 -2.326 -0.287
H -9.352 0.634 -3.846
O -13.750 4.330 4.476
O -13.758 2.524 -2.626
H -5.594 2.755 -6.179
Cl -18.319 3.956 -0.216
Cl -9.658 5.813 -1.089
Ru -10.638 -0.020 -0.480
Mg -12.982 2.338 4.729
Cl -15.638 4.787 1.507
Cl -12.867 0.376 0.350
H -7.925 0.774 1.594
O -6.011 2.090 -5.580
O -13.276 5.935 -3.139
H -8.081 -5.977 2.801
Ru -2.939 -0.684 -3.486
Cl -17.061 4.402 4.389
H -12.606 5.229 -3.027
H -12.697 9.464 -4.177
Mg -11.248 7.538 3.145
H -5.326 1.850 -4.911
O -1.271 -0.315 -4.032
H -6.768 -2.263 1.113
O -7.502 -2.449 1.763
H -12.240 5.382 1.599
H -7.094 0.858 0.281
O -14.734 -0.214 -3.037
H -8.409 -5.105 -2.194
H -14.010 5.749 -2.489
Cl -10.902 3.569 -3.155
H -15.388 4.968 -0.768
O -5.298 -1.871 0.291
Cl -6.593 -5.090 -0.870
H -5.289 -3.458 -3.672
H -14.911 8.181 1.544
Cl -9.876 -0.083 1.779
H -5.228 -4.948 2.270
Cl -9.369 3.745 1.385
O -15.209 7.878 2.440
Cl -17.085 1.916 2.128
O -9.381 6.939 2.264
O -7.019 0.962 1.250
H -10.762 -3.104 1.843
O -12.263 2.436 2.763
H -12.817 5.308 3.069
H -14.724 4.392 4.336
O -4.734 1.735 -0.067
H -4.698 2.607 -0.550
H -15.550 8.434 -3.646
O -9.850 6.727 -4.179
H -6.054 -0.905 -5.712
H -12.776 -0.822 2.205
Ru -10.140 3.507 -0.895
H -15.452 1.636 3.536
H -5.390 -1.481 -0.608
Cl -11.409 -0.259 -2.761
H -12.479 8.348 -3.114
Cl -5.140 -1.301 -2.883
O -8.514 1.051 -4.139
H -13.404 -2.384 -0.567
H -8.299 -4.862 1.738
H -8.172 -1.743 1.652
H -9.073 6.126 -4.366
O -6.044 3.700 1.661
Cl -14.185 8.576 -0.506
H -11.144 6.375 -5.161
H -9.515 -6.110 -2.637
O -10.389 1.743 -0.688
Cl -3.717 -0.916 -5.765
H -16.069 4.312 -2.817
H -16.080 0.879 -0.825
H -11.426 2.852 2.470
H -4.679 -2.643 0.145
H -13.683 2.628 -1.656
O -16.043 1.751 -1.309
O -15.578 7.521 -4.006
O -15.480 5.357 -1.666
H -7.961 -1.822 -4.444
O -14.766 1.397 4.205
H -4.709 -0.825 1.441
Mg -9.530 -4.051 -4.521
O -7.915 4.819 -4.426
H -10.016 6.591 -3.219
Mg -7.796 1.149 -6.105
H -9.634 -2.888 3.785
O -12.809 8.496 -4.022
H -8.001 4.309 -3.581
Cl -7.911 3.110 -1.726
H -15.184 0.731 4.803
H -12.520 1.835 2.024
H -8.375 3.742 -5.697
H -12.403 -0.255 4.321
O -7.968 -5.009 2.647
H -5.867 -4.695 -2.919
H -16.099 6.129 -1.520
H -13.761 -0.229 -2.902
H -7.017 3.715 1.526
H -8.258 1.652 -3.400
H -4.082 1.141 -0.494
O -5.569 -4.392 -3.815
O -11.397 -3.453 -3.639
H -11.263 9.596 1.261
O -8.471 -2.397 -3.823
H -13.857 8.079 3.498
O -12.863 -1.332 3.050
O -7.028 -0.843 -5.852
O -11.608 8.696 1.437
Ru -17.839 4.170 2.111
H -11.413 -2.542 -3.264
Cl -2.459 -0.470 -1.160
```

Values from the calculation:
M_tot = 0.000 μB/atom
calculated total energy = -601.5 eV per cell


[11]
The following is a DFT calculation (PBE) of a relaxed La7Tl2Cd2 crystal.

The structure in extended XYZ format:
```
11
Lattice="-5.473 -3.504 -3.022 -0.129 -5.158 6.217 -2.469 5.203 4.266" Properties=species:S:1:pos:R:3 pbc="T T T"
La -5.297 -0.141 7.079
Tl -3.341 2.674 2.150
La -4.005 -0.544 2.306
La 0.000 0.000 0.000
La -1.325 -0.990 6.457
Cd -1.385 -2.297 3.315
La -6.746 -2.469 1.004
Cd -6.687 -1.163 4.146
La -4.066 -2.915 5.155
La -2.774 -3.319 0.382
Tl -4.730 -6.134 5.311
```

Values from the calculation:
M_tot = 0.000 μB/atom
calculated total energy = -41.8 eV per cell
energy relative to the elements = -0.07 eV/atom


[12]
The following is a DFT calculation (PBE) of a relaxed Al2SbMoW crystal.

The structure in extended XYZ format:
```
5
Lattice="-2.122 -1.224 4.390 3.606 -3.379 0.801 2.767 3.501 2.314" Properties=species:S:1:pos:R:3 pbc="T T T"
Al -1.061 -0.612 2.195
Sb 0.000 0.000 0.000
W 1.803 -1.689 0.400
Mo 2.125 -0.551 3.753
Al 1.384 1.751 1.157
```

Values from the calculation:
M_tot = 0.409 μB/atom
calculated total energy = -24.9 eV per cell
formation energy (no corrections) = 2.089 eV per atom


[13]
The following is a DFT calculation (PBE) of a relaxed Ag2HPdPt crystal.

The structure in extended XYZ format:
```
5
Lattice="-3.944 0.071 1.899 -0.717 -4.107 -1.335 1.456 -1.252 3.070" Properties=species:S:1:pos:R:3 pbc="T T T"
H 0.000 0.000 0.000
Ag -0.359 -2.054 -0.667
Pt -1.603 -2.644 1.817
Pd 0.728 -0.626 1.535
Ag -1.972 0.036 0.950
```

Values from the calculation:
M_tot = 0.000 μB/atom
calculated total energy = -19.8 eV per cell


[14]
The following is a DFT calculation (PBE) of a relaxed Si2AsAu crystal.

The structure in extended XYZ format:
```
4
Lattice="-0.967 -0.980 6.556 -2.016 -4.052 4.939 1.505 -3.435 5.551" Properties=species:S:1:pos:R:3 pbc="T T T"
As -0.756 -4.331 8.720
Si -1.475 -8.452 17.015
Au -1.097 -6.285 12.653
Si -0.366 -2.099 4.226
```

Values from the calculation:
M_tot = 0.000 μB/atom
calculated total energy = -18.2 eV per cell
formation energy (no corrections) = 0.152 eV per atom


[15]
The following is a DFT calculation (PBE) of a relaxed FeBS2N crystal.

The structure in extended XYZ format:
```
5
Lattice="5.080 0.000 0.000 0.000 5.080 0.000 0.000 0.000 2.647" Properties=species:S:1:pos:R:3 pbc="T T T"
B 0.000 0.000 0.000
N 0.000 0.000 1.324
S 2.540 0.000 0.000
S 0.000 2.540 0.000
Fe 2.540 2.540 1.324
```

Values from the calculation:
M_tot = 0.825 μB/atom
calculated total energy = -29.3 eV per cell
formation energy (no corrections) = 0.479 eV per atom


[16]
The following is a DFT calculation (PBE) of a relaxed CaSm2Ag3 crystal.

The structure in extended XYZ format:
```
6
Lattice="-0.836 3.586 -0.318 -1.807 -0.136 3.221 9.488 2.694 5.435" Properties=species:S:1:pos:R:3 pbc="T T T"
Ca 3.423 3.072 4.170
Sm 6.576 3.967 5.976
Sm 0.269 2.177 2.363
Ag 6.396 1.816 3.664
Ag 0.000 0.000 0.000
Ag 3.092 0.878 1.771
```

Values from the calculation:
M_tot = 0.000 μB/atom
calculated total energy = -21.8 eV per cell
energy relative to the elements = -0.29 eV/atom